No. 1
Material: AgTe2HBr
Method: DFT, PBE
State: optimized geometry

Calculated values
The value obtained for the total magnetization is 3.13 μB per formula unit. Its calculated total energy is -2.02 eV/atom. Its symmetry is P4/mmm.

Cell lengths 5.4910, 5.4910, 5.5889 Å; angles 90.00, 90.00, 90.00 degrees
Sites, in units of the cell vectors:
Ag: 0.0000 0.0000 0.0000
Te: 0.0000 0.5000 0.0000
Te: 0.5000 0.0000 0.0000
H: 0.5000 0.5000 0.5000
Br: 0.0000 0.0000 0.5000

No. 2
Material: Tl2AgHBr4
Method: DFT, PBE
State: optimized geometry

Calculated values
The value obtained for the total magnetization is 0.00 μB per formula unit. Its calculated total energy is -2.43 eV/atom. Its symmetry is P2/m.

Cell lengths 8.1153, 3.8182, 8.7812 Å; angles 90.00, 116.09, 90.00 degrees
Sites, in units of the cell vectors:
Tl: 0.0000 0.0000 0.0000
Tl: 0.0000 0.5000 0.5000
Ag: 0.5000 0.0000 0.5000
H: 0.5000 0.5000 0.0000
Br: 0.2604 0.5000 0.3068
Br: 0.3090 0.0000 0.8251
Br: 0.6911 0.0000 0.1749
Br: 0.7396 0.5000 0.6932

No. 3
Material: ZnAgHBr2
Method: DFT, PBE
State: optimized geometry

Calculated values
The value obtained for the total magnetization is 0.00 μB per formula unit. Its calculated total energy is -1.90 eV/atom. Its symmetry is P4/mmm.

Cell lengths 5.3494, 5.3494, 3.5431 Å; angles 90.00, 90.00, 90.00 degrees
Sites, in units of the cell vectors:
Zn: 0.0000 0.0000 0.0000
Ag: 0.5000 0.5000 0.0000
H: 0.5000 0.5000 0.5000
Br: 0.0000 0.5000 0.5000
Br: 0.5000 0.0000 0.5000

No. 4
Material: HfAg3Br
Method: DFT, PBE
State: optimized geometry

Calculated values
The value obtained for the excess energy over the best structure of this formula in the dataset is 0.0913 eV/atom. The formation energy from raw total energies is 1163.5 meV/atom. The value obtained for the total magnetization is 0.00 μB per formula unit. Its symmetry is Pm-3m.

Cell lengths 5.0646, 5.0646, 5.0646 Å; angles 90.00, 90.00, 90.00 degrees
Sites, in units of the cell vectors:
Hf: 0.0000 0.0000 0.0000
Ag: 0.0000 0.5000 0.5000
Ag: 0.5000 0.0000 0.5000
Ag: 0.5000 0.5000 0.0000
Br: 0.5000 0.5000 0.5000

No. 5
Material: HfAg3Br
Method: DFT, PBE
State: optimized geometry

Calculated values
The value obtained for the excess energy over the best structure of this formula in the dataset is 0.0000 eV/atom. The formation energy from raw total energies is 1072.2 meV/atom. The value obtained for the total magnetization is 0.00 μB per formula unit. Its symmetry is Pm-3m.

Cell lengths 5.3866, 5.3866, 5.3866 Å; angles 90.00, 90.00, 90.00 degrees
Sites, in units of the cell vectors:
Hf: 0.0000 0.0000 0.0000
Ag: 0.0000 0.0000 0.5000
Ag: 0.0000 0.5000 0.0000
Ag: 0.5000 0.0000 0.0000
Br: 0.5000 0.5000 0.5000

No. 6
Material: HfAgBr
Method: DFT, PBE
State: optimized geometry

Calculated values
The formation energy from raw total energies is -286.8 meV/atom. The value obtained for the total magnetization is 0.00 μB per formula unit. Its symmetry is Amm2.

Cell lengths 15.6805, 3.2961, 3.2961 Å; angles 60.00, 90.00, 90.00 degrees
Sites, in units of the cell vectors:
Hf: 0.1456 0.0000 0.0000
Hf: 0.8544 0.0000 0.0000
Ag: 0.0000 0.3332 0.3332
Ag: 0.5000 0.3006 0.3006
Br: 0.2696 0.3333 0.3333
Br: 0.7304 0.3333 0.3333

No. 7
Material: HfAg2Br6
Method: DFT, PBE
State: optimized geometry

Calculated values
The value obtained for the excess energy over the best structure of this formula in the dataset is 0.0170 eV/atom. The formation energy from raw total energies is -885.5 meV/atom. The value obtained for the total magnetization is 0.00 μB per formula unit. Its symmetry is P4_2/mnm.

Cell lengths 6.6720, 6.6720, 12.3590 Å; angles 90.00, 90.00, 90.00 degrees
Sites, in units of the cell vectors:
Hf: 0.0000 0.0000 0.0000
Hf: 0.5000 0.5000 0.5000
Ag: 0.0000 0.0000 0.3372
Ag: 0.0000 0.0000 0.6628
Ag: 0.5000 0.5000 0.1628
Ag: 0.5000 0.5000 0.8372
Br: 0.1928 0.1928 0.1536
Br: 0.1928 0.1928 0.8464
Br: 0.2200 0.2200 0.5000
Br: 0.2800 0.7200 0.0000
Br: 0.3072 0.6928 0.3464
Br: 0.3072 0.6928 0.6536
Br: 0.6928 0.3072 0.3464
Br: 0.6928 0.3072 0.6536
Br: 0.7200 0.2800 0.0000
Br: 0.7800 0.7800 0.5000
Br: 0.8072 0.8072 0.1536
Br: 0.8072 0.8072 0.8464

No. 8
Material: Hf2AgBr
Method: DFT, PBE
State: optimized geometry

Calculated values
The value obtained for the excess energy over the best structure of this formula in the dataset is 0.0000 eV/atom. The formation energy from raw total energies is 147.5 meV/atom. The value obtained for the total magnetization is 0.00 μB per formula unit. Its symmetry is Fm-3m.

Cell lengths 4.8514, 4.8514, 4.8514 Å; angles 60.00, 60.00, 60.00 degrees
Sites, in units of the cell vectors:
Hf: 0.2500 0.2500 0.2500
Hf: 0.7500 0.7500 0.7500
Ag: 0.0000 0.0000 0.0000
Br: 0.5000 0.5000 0.5000

No. 9
Material: HfAg2Br6
Method: DFT, PBE
State: optimized geometry

Calculated values
The value obtained for the excess energy over the best structure of this formula in the dataset is 0.0000 eV/atom. The formation energy from raw total energies is -902.5 meV/atom. The value obtained for the total magnetization is 0.00 μB per formula unit. Its symmetry is R-3.

Cell lengths 7.5027, 7.5027, 7.5027 Å; angles 56.49, 56.49, 56.49 degrees
Sites, in units of the cell vectors:
Hf: 0.0000 0.0000 0.0000
Ag: 0.1965 0.1965 0.1965
Ag: 0.8035 0.8035 0.8035
Br: 0.1027 0.7674 0.3717
Br: 0.2326 0.6283 0.8973
Br: 0.3717 0.1027 0.7674
Br: 0.6283 0.8973 0.2326
Br: 0.7674 0.3717 0.1027
Br: 0.8973 0.2326 0.6283

No. 10
Material: HfAgBr5
Method: DFT, PBE
State: optimized geometry

Calculated values
The formation energy from raw total energies is -1026.6 meV/atom. The value obtained for the total magnetization is 0.00 μB per formula unit. Its symmetry is C2/c.

Cell lengths 8.3695, 8.3695, 10.1778 Å; angles 107.25, 107.25, 48.69 degrees
Sites, in units of the cell vectors:
Hf: 0.0000 0.0000 0.0000
Hf: 0.0000 0.0000 0.5000
Ag: 0.4221 0.5779 0.7500
Ag: 0.5779 0.4221 0.2500
Br: 0.0651 0.6527 0.8737
Br: 0.1634 0.6099 0.5130
Br: 0.1648 0.8352 0.2500
Br: 0.3473 0.9349 0.6263
Br: 0.3901 0.8366 0.9870
Br: 0.6099 0.1634 0.0130
Br: 0.6527 0.0651 0.3737
Br: 0.8352 0.1648 0.7500
Br: 0.8366 0.3901 0.4870
Br: 0.9349 0.3473 0.1263

No. 11
Material: Hf2AgBr
Method: DFT, PBE
State: optimized geometry

Calculated values
The value obtained for the excess energy over the best structure of this formula in the dataset is 0.3333 eV/atom. The formation energy from raw total energies is 480.7 meV/atom. The value obtained for the total magnetization is 0.00 μB per formula unit. Its symmetry is I-42d.

Cell lengths 10.3578, 10.3578, 10.3578 Å; angles 155.85, 155.85, 34.42 degrees
Sites, in units of the cell vectors:
Hf: 0.1230 0.6250 0.9980
Hf: 0.3750 0.3730 0.4980
Hf: 0.6270 0.1250 0.0020
Hf: 0.8750 0.8770 0.5020
Ag: 0.2500 0.7500 0.5000
Ag: 0.5000 0.5000 0.0000
Br: 0.0000 0.0000 0.0000
Br: 0.7500 0.2500 0.5000

No. 12
Material: HfAg3Br7
Method: DFT, PBE
State: optimized geometry

Calculated values
The formation energy from raw total energies is -790.9 meV/atom. The value obtained for the total magnetization is 0.00 μB per formula unit. Its symmetry is Cm.

Cell lengths 8.2937, 8.2937, 7.8658 Å; angles 114.40, 114.40, 56.11 degrees
Sites, in units of the cell vectors:
Hf: 0.0000 0.0000 0.0000
Ag: 0.2459 0.7836 0.4738
Ag: 0.5345 0.5345 0.9705
Ag: 0.7836 0.2459 0.4738
Br: 0.1079 0.1079 0.8199
Br: 0.1107 0.6374 0.7987
Br: 0.3608 0.8921 0.2454
Br: 0.5905 0.5905 0.6860
Br: 0.6374 0.1107 0.7987
Br: 0.8921 0.3608 0.2454
Br: 0.8932 0.8932 0.2229

No. 13
Material: HfAg3Br8
Method: DFT, PBE
State: optimized geometry

Calculated values
The formation energy from raw total energies is -725.0 meV/atom. The value obtained for the total magnetization is 0.00 μB per formula unit. Its symmetry is C222.

Cell lengths 7.2068, 7.2068, 8.1571 Å; angles 90.00, 90.00, 116.02 degrees
Sites, in units of the cell vectors:
Hf: 0.0000 0.0000 0.0000
Ag: 0.0000 0.0000 0.5000
Ag: 0.0000 0.5000 0.2632
Ag: 0.5000 0.0000 0.7368
Br: 0.2174 0.7826 0.5000
Br: 0.2178 0.7822 0.0000
Br: 0.2403 0.2561 0.2213
Br: 0.2561 0.2403 0.7787
Br: 0.7439 0.7597 0.7787
Br: 0.7597 0.7439 0.2213
Br: 0.7822 0.2178 0.0000
Br: 0.7826 0.2174 0.5000

No. 14
Material: HfAg3I2Br6
Method: DFT, PBE
State: optimized geometry

Calculated values
The formation energy from raw total energies is -681.4 meV/atom. The value obtained for the total magnetization is 0.00 μB per formula unit. Its symmetry is C2/m.

Cell lengths 8.3641, 8.3641, 6.5545 Å; angles 95.96, 95.96, 58.09 degrees
Sites, in units of the cell vectors:
Hf: 0.0000 0.0000 0.0000
Ag: 0.0000 0.5000 0.0000
Ag: 0.5000 0.0000 0.0000
Ag: 0.5000 0.5000 0.5000
I: 0.3266 0.3266 0.2656
I: 0.6734 0.6734 0.7344
Br: 0.1369 0.1369 0.7705
Br: 0.1487 0.6870 0.7637
Br: 0.3130 0.8513 0.2363
Br: 0.6870 0.1487 0.7637
Br: 0.8513 0.3130 0.2363
Br: 0.8631 0.8631 0.2295

No. 15
Material: HfNbAg2Br
Method: DFT, PBE
State: optimized geometry

Calculated values
The formation energy from raw total energies is 1154.6 meV/atom. The value obtained for the total magnetization is 0.00 μB per formula unit. Its symmetry is P4/mmm.

Cell lengths 5.2615, 5.2615, 5.0278 Å; angles 90.00, 90.00, 90.00 degrees
Sites, in units of the cell vectors:
Hf: 0.0000 0.0000 0.0000
Nb: 0.0000 0.0000 0.5000
Ag: 0.0000 0.5000 0.5000
Ag: 0.5000 0.0000 0.5000
Br: 0.5000 0.5000 0.0000

No. 16
Material: HfAgPtBr2
Method: DFT, PBE
State: optimized geometry

Calculated values
The formation energy from raw total energies is -3.9 meV/atom. The value obtained for the total magnetization is 0.00 μB per formula unit. Its symmetry is P4/mmm.

Cell lengths 5.2032, 5.2032, 5.1809 Å; angles 90.00, 90.00, 90.00 degrees
Sites, in units of the cell vectors:
Hf: 0.0000 0.0000 0.0000
Ag: 0.5000 0.5000 0.5000
Pt: 0.0000 0.0000 0.5000
Br: 0.0000 0.5000 0.0000
Br: 0.5000 0.0000 0.0000

No. 17
Material: Rb2HfAgBr6
Method: DFT, PBE
State: optimized geometry

Calculated values
The formation energy from raw total energies is -1218.3 meV/atom. The value obtained for the total magnetization is 0.96 μB per formula unit. Its symmetry is I4/mmm.

Cell lengths 7.8791, 7.8791, 7.8791 Å; angles 120.06, 120.06, 89.89 degrees
Sites, in units of the cell vectors:
Rb: 0.2500 0.7500 0.5000
Rb: 0.7500 0.2500 0.5000
Hf: 0.0000 0.0000 0.0000
Ag: 0.5000 0.5000 0.0000
Br: 0.2396 0.2396 0.0000
Br: 0.2401 0.2401 0.4802
Br: 0.2401 0.7599 0.0000
Br: 0.7599 0.2401 0.0000
Br: 0.7604 0.7604 0.0000
Br: 0.7599 0.7599 0.5198

No. 18
Material: RbHfAgBr6
Method: DFT, PBE
State: optimized geometry

Calculated values
The formation energy from raw total energies is -1256.5 meV/atom. The value obtained for the total magnetization is 0.00 μB per formula unit. Its symmetry is P-31c.

Cell lengths 7.3233, 7.3233, 14.8614 Å; angles 90.00, 90.00, 120.00 degrees
Sites, in units of the cell vectors:
Rb: 0.0000 0.0000 0.0000
Rb: 0.0000 0.0000 0.5000
Hf: 0.3333 0.6667 0.2500
Hf: 0.6667 0.3333 0.7500
Ag: 0.3333 0.6667 0.7500
Ag: 0.6667 0.3333 0.2500
Br: 0.0294 0.3887 0.1465
Br: 0.0294 0.6407 0.3535
Br: 0.3593 0.3887 0.3535
Br: 0.3593 0.9706 0.1465
Br: 0.3887 0.0294 0.6465
Br: 0.3887 0.3593 0.8535
Br: 0.6113 0.6407 0.1465
Br: 0.6113 0.9706 0.3535
Br: 0.6407 0.0294 0.8535
Br: 0.6407 0.6113 0.6465
Br: 0.9706 0.3593 0.6465
Br: 0.9706 0.6113 0.8535

No. 19
Material: HfAgSeBr2
Method: DFT, PBE
State: optimized geometry

Calculated values
The value obtained for the excess energy over the best structure of this formula in the dataset is 0.9566 eV/atom. The formation energy from raw total energies is 491.8 meV/atom. The value obtained for the total magnetization is 1.45 μB per formula unit. Its symmetry is P4/mmm.

Cell lengths 5.1327, 5.1327, 5.1861 Å; angles 90.00, 90.00, 90.00 degrees
Sites, in units of the cell vectors:
Hf: 0.0000 0.0000 0.0000
Ag: 0.5000 0.5000 0.5000
Se: 0.5000 0.5000 0.0000
Br: 0.0000 0.5000 0.5000
Br: 0.5000 0.0000 0.5000

No. 20
Material: HfAgSe2Br
Method: DFT, PBE
State: optimized geometry

Calculated values
The value obtained for the excess energy over the best structure of this formula in the dataset is 0.0000 eV/atom. The formation energy from raw total energies is -465.5 meV/atom. The value obtained for the total magnetization is 0.00 μB per formula unit. Its symmetry is P4/mmm.

Cell lengths 5.1905, 5.1905, 5.2742 Å; angles 90.00, 90.00, 90.00 degrees
Sites, in units of the cell vectors:
Hf: 0.0000 0.0000 0.0000
Ag: 0.5000 0.5000 0.5000
Se: 0.0000 0.5000 0.0000
Se: 0.5000 0.0000 0.0000
Br: 0.0000 0.0000 0.5000